Entry 1:
Here is a relaxed Ca5Rh crystal from Alexandria. Energies are from PBE-GGA.

The total magnetization comes out at 0.00 μB per cell. As for the space group: Cmmm. For the density, the calculation gives 2.56 g/cm3. As for the energy above the most stable polymorph in this dataset: 215 meV per atom.

Cell lengths 8.281, 8.281, 5.676 Å; angles 90.00, 90.00, 149.65 degrees
Fractional positions:
1 Ca 0.000 0.000 0.000
2 Ca 0.125 0.875 0.500
3 Ca 0.336 0.664 0.000
4 Ca 0.664 0.336 0.000
5 Ca 0.875 0.125 0.500
6 Rh 0.500 0.500 0.500

=====

Entry 2:
Here is a relaxed Ca3Rh crystal from Alexandria. Energies are from PBE-GGA.

The total magnetization comes out at 0.00 μB per cell. As for the space group: P4_2/n. For the density, the calculation gives 3.22 g/cm3. The total DFT energy (no corrections) comes out at -3.621 eV/atom.

Cell lengths 12.162, 12.162, 6.215 Å; angles 90.00, 90.00, 90.00 degrees
Fractional positions:
1 Ca 0.029 0.583 0.214
2 Ca 0.083 0.971 0.714
3 Ca 0.120 0.205 0.016
4 Ca 0.127 0.668 0.711
5 Ca 0.168 0.873 0.211
6 Ca 0.205 0.380 0.484
7 Ca 0.295 0.120 0.484
8 Ca 0.332 0.627 0.211
9 Ca 0.373 0.832 0.711
10 Ca 0.380 0.295 0.016
11 Ca 0.417 0.529 0.714
12 Ca 0.471 0.917 0.214
13 Ca 0.529 0.083 0.786
14 Ca 0.583 0.471 0.286
15 Ca 0.620 0.705 0.984
16 Ca 0.627 0.168 0.289
17 Ca 0.668 0.373 0.789
18 Ca 0.705 0.880 0.516
19 Ca 0.795 0.620 0.516
20 Ca 0.832 0.127 0.789
21 Ca 0.873 0.332 0.289
22 Ca 0.880 0.795 0.984
23 Ca 0.917 0.029 0.286
24 Ca 0.971 0.417 0.786
25 Rh 0.033 0.199 0.544
26 Rh 0.199 0.467 0.956
27 Rh 0.301 0.033 0.956
28 Rh 0.467 0.301 0.544
29 Rh 0.533 0.699 0.456
30 Rh 0.699 0.967 0.044
31 Rh 0.801 0.533 0.044
32 Rh 0.967 0.801 0.456

=====

Entry 3:
Here is a relaxed Ca5Rh crystal from Alexandria. Energies are from PBE-GGA.

The total magnetization comes out at 0.00 μB per cell. As for the space group: P4/mmm. For the density, the calculation gives 2.52 g/cm3. As for the energy above the most stable polymorph in this dataset: 102 meV per atom.

Cell lengths 3.629, 3.629, 15.204 Å; angles 90.00, 90.00, 90.00 degrees
Fractional positions:
1 Ca 0.000 0.000 0.000
2 Ca 0.000 0.000 0.394
3 Ca 0.000 0.000 0.606
4 Ca 0.500 0.500 0.192
5 Ca 0.500 0.500 0.808
6 Rh 0.500 0.500 0.500

=====

Entry 4:
Here is a relaxed CaRh5 crystal from Alexandria. Energies are from PBE-GGA.

The total magnetization comes out at 0.00 μB per cell. As for the space group: Cm. For the density, the calculation gives 9.87 g/cm3. The total DFT energy (no corrections) comes out at -6.451 eV/atom.

Cell lengths 5.272, 5.272, 6.796 Å; angles 103.11, 103.11, 30.55 degrees
Fractional positions:
1 Ca 0.000 0.000 0.000
2 Rh 0.268 0.268 0.041
3 Rh 0.343 0.343 0.652
4 Rh 0.626 0.626 0.706
5 Rh 0.687 0.687 0.338
6 Rh 0.959 0.959 0.398

=====

Entry 5:
Here is a relaxed CaRh3 crystal from Alexandria. Energies are from PBE-GGA.

The total magnetization comes out at 0.00 μB per cell. As for the space group: I4/mmm. For the density, the calculation gives 8.84 g/cm3. The total DFT energy (no corrections) comes out at -6.046 eV/atom.

Cell lengths 8.595, 8.595, 8.595 Å; angles 152.96, 152.96, 38.61 degrees
Fractional positions:
1 Ca 0.122 0.122 0.000
2 Ca 0.878 0.878 0.000
3 Rh 0.000 0.500 0.500
4 Rh 0.250 0.750 0.500
5 Rh 0.373 0.373 0.000
6 Rh 0.500 0.000 0.500
7 Rh 0.627 0.627 0.000
8 Rh 0.750 0.250 0.500

=====

Entry 6:
Here is a relaxed Ca4Rh crystal from Alexandria. Energies are from PBE-GGA.

The total magnetization comes out at 0.00 μB per cell. As for the space group: Im-3m. For the density, the calculation gives 2.58 g/cm3. As for the energy above the most stable polymorph in this dataset: 182 meV per atom.

Cell lengths 6.038, 6.038, 6.038 Å; angles 109.47, 109.47, 109.47 degrees
Fractional positions:
1 Ca 0.000 0.000 0.500
2 Ca 0.000 0.500 0.000
3 Ca 0.500 0.000 0.000
4 Ca 0.500 0.500 0.500
5 Rh 0.000 0.000 0.000

=====

Entry 7:
Here is a relaxed CaRh3 crystal from Alexandria. Energies are from PBE-GGA.

The total magnetization comes out at 0.00 μB per cell. As for the space group: P4/mmm. For the density, the calculation gives 8.64 g/cm3. The total DFT energy (no corrections) comes out at -5.996 eV/atom.

Cell lengths 2.911, 2.911, 7.904 Å; angles 90.00, 90.00, 90.00 degrees
Fractional positions:
1 Ca 0.000 0.000 0.000
2 Rh 0.000 0.000 0.500
3 Rh 0.500 0.500 0.284
4 Rh 0.500 0.500 0.716

=====

Entry 8:
Here is a relaxed CaRh3 crystal from Alexandria. Energies are from PBE-GGA.

The total magnetization comes out at 0.00 μB per cell. As for the space group: Cmmm. For the density, the calculation gives 9.02 g/cm3. The total DFT energy (no corrections) comes out at -6.090 eV/atom.

Cell lengths 4.871, 4.871, 2.851 Å; angles 90.00, 90.00, 108.38 degrees
Fractional positions:
1 Ca 0.000 0.000 0.000
2 Rh 0.000 0.500 0.500
3 Rh 0.500 0.000 0.500
4 Rh 0.500 0.500 0.000

=====

DOS(E_F): 5.86, 16.78, 4.46, 9.19, 10.32, 4.78, 5.08, 3.38 (states/eV per cell)